The following is a PBE calculation of an optimized crystal structure of Nb2Ni, from OQMD.

SG	P4_2/mnm

Unit cell a=5.6563 b=5.6563 c=3.5507 alpha=90.00 beta=90.00 gamma=90.00
Atoms (fractional coordinates):
Nb1 0.2045 0.2045 0.0000
Nb2 0.2955 0.7045 0.5000
Nb3 0.7045 0.2955 0.5000
Nb4 0.7955 0.7955 0.0000
Ni1 0.0000 0.0000 0.5000
Ni2 0.5000 0.5000 0.0000



The following is a PBE calculation of an optimized crystal structure of Nb5Ni, from OQMD.

SG	Fd-3m

Unit cell a=8.4086 b=8.4086 c=8.4086 alpha=60.00 beta=60.00 gamma=60.00
Atoms (fractional coordinates):
Nb1 0.1447 0.7851 0.7851
Nb2 0.1906 0.1906 0.5594
Nb3 0.1906 0.5594 0.1906
Nb4 0.1906 0.5594 0.5594
Nb5 0.2149 0.2149 0.2149
Nb6 0.2149 0.2149 0.8553
Nb7 0.2149 0.8553 0.2149
Nb8 0.4406 0.4406 0.8094
Nb9 0.4406 0.8094 0.4406
Nb10 0.4406 0.8094 0.8094
Nb11 0.5594 0.1906 0.1906
Nb12 0.5594 0.1906 0.5594
Nb13 0.5594 0.5594 0.1906
Nb14 0.7851 0.1447 0.7851
Nb15 0.7851 0.7851 0.1447
Nb16 0.7851 0.7851 0.7851
Nb17 0.8094 0.4406 0.4406
Nb18 0.8094 0.4406 0.8094
Nb19 0.8094 0.8094 0.4406
Nb20 0.8553 0.2149 0.2149
Ni1 0.0000 0.0000 0.0000
Ni2 0.0000 0.0000 0.5000
Ni3 0.0000 0.5000 0.0000
Ni4 0.5000 0.0000 0.0000



The following is a PBE calculation of an optimized crystal structure of NbNi2, from OQMD.

SG	P6_3/mmc

Unit cell a=4.7905 b=4.7905 c=15.6171 alpha=90.00 beta=90.00 gamma=120.00
Atoms (fractional coordinates):
Nb1 0.0000 0.0000 0.0959
Nb2 0.0000 0.0000 0.4041
Nb3 0.0000 0.0000 0.5959
Nb4 0.0000 0.0000 0.9041
Nb5 0.3333 0.6667 0.1555
Nb6 0.3333 0.6667 0.3445
Nb7 0.6667 0.3333 0.6555
Nb8 0.6667 0.3333 0.8445
Ni1 0.0000 0.5000 0.0000
Ni2 0.0000 0.5000 0.5000
Ni3 0.1647 0.3295 0.7500
Ni4 0.1647 0.8353 0.7500
Ni5 0.3295 0.1647 0.2500
Ni6 0.3333 0.6667 0.6245
Ni7 0.3333 0.6667 0.8755
Ni8 0.5000 0.0000 0.0000
Ni9 0.5000 0.0000 0.5000
Ni10 0.5000 0.5000 0.0000
Ni11 0.5000 0.5000 0.5000
Ni12 0.6667 0.3333 0.1245
Ni13 0.6667 0.3333 0.3755
Ni14 0.6705 0.8353 0.7500
Ni15 0.8353 0.1647 0.2500
Ni16 0.8353 0.6705 0.2500



The following is a PBE calculation of an optimized crystal structure of Nb6Ni7, from OQMD.

SG	R-3m

Unit cell a=9.2368 b=9.2368 c=9.2368 alpha=30.62 beta=30.62 gamma=30.62
Atoms (fractional coordinates):
Nb1 0.0493 0.0493 0.0493
Nb2 0.1556 0.1556 0.1556
Nb3 0.3313 0.3313 0.3313
Nb4 0.6687 0.6687 0.6687
Nb5 0.8444 0.8444 0.8444
Nb6 0.9507 0.9507 0.9507
Ni1 0.0909 0.5906 0.5906
Ni2 0.4094 0.4094 0.9091
Ni3 0.4094 0.9091 0.4094
Ni4 0.5000 0.5000 0.5000
Ni5 0.5906 0.0909 0.5906
Ni6 0.5906 0.5906 0.0909
Ni7 0.9091 0.4094 0.4094



The following is a PBE calculation of an optimized crystal structure of NbNi3, from OQMD.

SG	I4/mmm

Unit cell a=3.6170 b=3.6170 c=7.5791 alpha=90.00 beta=90.00 gamma=90.00
Atoms (fractional coordinates):
Nb1 0.0000 0.0000 0.0000
Nb2 0.5000 0.5000 0.5000
Ni1 0.0000 0.0000 0.5000
Ni2 0.0000 0.5000 0.2500
Ni3 0.0000 0.5000 0.7500
Ni4 0.5000 0.0000 0.2500
Ni5 0.5000 0.0000 0.7500
Ni6 0.5000 0.5000 0.0000



The following is a PBE calculation of an optimized crystal structure of Nb2Ni, from OQMD.

SG	Fm-3m

Unit cell a=5.9497 b=5.9497 c=5.9497 alpha=90.00 beta=90.00 gamma=90.00
Atoms (fractional coordinates):
Nb1 0.2500 0.2500 0.2500
Nb2 0.2500 0.2500 0.7500
Nb3 0.2500 0.7500 0.2500
Nb4 0.2500 0.7500 0.7500
Nb5 0.7500 0.2500 0.2500
Nb6 0.7500 0.2500 0.7500
Nb7 0.7500 0.7500 0.2500
Nb8 0.7500 0.7500 0.7500
Ni1 0.0000 0.0000 0.0000
Ni2 0.0000 0.5000 0.5000
Ni3 0.5000 0.0000 0.5000
Ni4 0.5000 0.5000 0.0000



The following is a PBE calculation of an optimized crystal structure of Nb2Ni, from OQMD.

SG	Fd-3m

Unit cell a=5.2758 b=5.2758 c=5.2758 alpha=60.00 beta=60.00 gamma=60.00
Atoms (fractional coordinates):
Nb1 0.0000 0.0000 0.0000
Nb2 0.0000 0.0000 0.5000
Nb3 0.0000 0.5000 0.0000
Nb4 0.5000 0.0000 0.0000
Ni1 0.3750 0.3750 0.3750
Ni2 0.6250 0.6250 0.6250



The following is a PBE calculation of an optimized crystal structure of NbNi2, from OQMD.

SG	P6_3/mmc

Unit cell a=4.7945 b=4.7945 c=7.7842 alpha=90.00 beta=90.00 gamma=120.00
Atoms (fractional coordinates):
Nb1 0.3333 0.6667 0.0552
Nb2 0.3333 0.6667 0.4448
Nb3 0.6667 0.3333 0.5552
Nb4 0.6667 0.3333 0.9448
Ni1 0.0000 0.0000 0.0000
Ni2 0.0000 0.0000 0.5000
Ni3 0.1688 0.3376 0.7500
Ni4 0.1688 0.8312 0.7500
Ni5 0.3376 0.1688 0.2500
Ni6 0.6624 0.8312 0.7500
Ni7 0.8312 0.1688 0.2500
Ni8 0.8312 0.6624 0.2500



The following is a PBE calculation of an optimized crystal structure of NbNi, from OQMD.

SG	Fm-3m

Unit cell a=5.0175 b=5.0175 c=5.0175 alpha=90.00 beta=90.00 gamma=90.00
Atoms (fractional coordinates):
Nb1 0.0000 0.0000 0.0000
Nb2 0.0000 0.5000 0.5000
Nb3 0.5000 0.0000 0.5000
Nb4 0.5000 0.5000 0.0000
Ni1 0.0000 0.0000 0.5000
Ni2 0.0000 0.5000 0.0000
Ni3 0.5000 0.0000 0.0000
Ni4 0.5000 0.5000 0.5000



The following is a PBE calculation of an optimized crystal structure of Nb3Ni, from OQMD.

SG	P6_3/mmc

Unit cell a=5.6887 b=5.6887 c=4.7247 alpha=90.00 beta=90.00 gamma=120.00
Atoms (fractional coordinates):
Nb1 0.1702 0.3404 0.2500
Nb2 0.1702 0.8298 0.2500
Nb3 0.3404 0.1702 0.7500
Nb4 0.6596 0.8298 0.2500
Nb5 0.8298 0.1702 0.7500
Nb6 0.8298 0.6596 0.7500
Ni1 0.3333 0.6667 0.7500
Ni2 0.6667 0.3333 0.2500



The following is a PBE calculation of an optimized crystal structure of NbNi2, from OQMD.

SG	Fm-3m

Unit cell a=5.7384 b=5.7384 c=5.7384 alpha=90.00 beta=90.00 gamma=90.00
Atoms (fractional coordinates):
Nb1 0.0000 0.0000 0.0000
Nb2 0.0000 0.5000 0.5000
Nb3 0.5000 0.0000 0.5000
Nb4 0.5000 0.5000 0.0000
Ni1 0.2500 0.2500 0.2500
Ni2 0.2500 0.2500 0.7500
Ni3 0.2500 0.7500 0.2500
Ni4 0.2500 0.7500 0.7500
Ni5 0.7500 0.2500 0.2500
Ni6 0.7500 0.2500 0.7500
Ni7 0.7500 0.7500 0.2500
Ni8 0.7500 0.7500 0.7500



The following is a PBE calculation of an optimized crystal structure of NbNi3, from OQMD.

SG	Fm-3m

Unit cell a=5.8509 b=5.8509 c=5.8509 alpha=90.00 beta=90.00 gamma=90.00
Atoms (fractional coordinates):
Nb1 0.0000 0.0000 0.0000
Nb2 0.0000 0.5000 0.5000
Nb3 0.5000 0.0000 0.5000
Nb4 0.5000 0.5000 0.0000
Ni1 0.0000 0.0000 0.5000
Ni2 0.0000 0.5000 0.0000
Ni3 0.2500 0.2500 0.2500
Ni4 0.2500 0.2500 0.7500
Ni5 0.2500 0.7500 0.2500
Ni6 0.2500 0.7500 0.7500
Ni7 0.5000 0.0000 0.0000
Ni8 0.5000 0.5000 0.5000
Ni9 0.7500 0.2500 0.2500
Ni10 0.7500 0.2500 0.7500
Ni11 0.7500 0.7500 0.2500
Ni12 0.7500 0.7500 0.7500



no.,formation energy (eV/atom),V (Å³ per atom)
1,0.77,18.933
2,0.13,17.517
3,-0.19,12.933
4,-0.21,13.939
5,-0.29,12.394
6,0.35,17.551
7,0.54,17.306
8,-0.19,12.914
9,0.37,15.790
10,0.13,16.551
11,0.43,15.747
12,-0.13,12.518